MnSbTe2Ir, optimized geometry, DFT PBE; N(E_F) = 0.74 states/eV/atom; symmetry = P4/mmm; energy relative to the elements, uncorrected = 0.9430 eV/atom; ΔE to the lowest computed polymorph = 1.19 eV per formula unit
1.0
4.9276 0.0000 0.0000
0.0000 4.9276 0.0000
0.0000 0.0000 4.8437
Mn Sb Te Ir
1 1 2 1
Direct
0.0000 0.0000 0.0000
0.0000 0.0000 0.5000
0.0000 0.5000 0.0000
0.5000 0.0000 0.0000
0.5000 0.5000 0.5000

---

CsSc3Os, optimized geometry, DFT PBE; energy of formation from the pure elements = 1.17 eV per formula unit; N(E_F) = 0.29 states/eV/atom; symmetry = Pm-3m; ΔE to the lowest computed polymorph = 0.00 eV per formula unit
1.0
5.2703 0.0000 0.0000
0.0000 5.2703 0.0000
0.0000 0.0000 5.2703
Cs Sc Os
1 3 1
Direct
0.0000 0.0000 0.0000
0.0000 0.5000 0.5000
0.5000 0.0000 0.5000
0.5000 0.5000 0.0000
0.5000 0.5000 0.5000

---

Na5PtS8, optimized geometry, DFT PBE; N(E_F) = 0.54 states/eV/atom; symmetry = I-4; energy relative to the elements, uncorrected = -0.6589 eV/atom
1.0
-5.9417 5.9417 2.3184
5.9417 -5.9417 2.3184
5.9417 5.9417 -2.3184
Na Pt S
5 1 8
Direct
0.0000 0.0000 0.0000
0.0693 0.6018 0.1530
0.0837 0.9307 0.5325
0.3982 0.5512 0.4675
0.4488 0.9163 0.8470
0.7500 0.2500 0.5000
0.0660 0.3504 0.8920
0.4584 0.1740 0.1080
0.5540 0.2918 0.3542
0.6496 0.5416 0.7156
0.7082 0.0624 0.2621
0.8002 0.4460 0.7379
0.8260 0.9340 0.2844
0.9376 0.1998 0.6458

---

Tb6Pr12Y, optimized geometry, DFT PBE; energy of formation from the pure elements = 4.35 eV per formula unit; N(E_F) = 1.60 states/eV/atom; symmetry = R-3; ΔE to the lowest computed polymorph = 1.91 eV per formula unit
1.0
7.5038 4.3323 3.5107
-7.5038 4.3323 3.5107
0.0000 -8.6646 3.5107
Tb Pr Y
6 12 1
Direct
0.0494 0.4195 0.3085
0.3085 0.0494 0.4195
0.4195 0.3085 0.0494
0.5805 0.6915 0.9506
0.6915 0.9506 0.5805
0.9506 0.5805 0.6915
0.0141 0.3077 0.9169
0.0831 0.9859 0.6923
0.2194 0.3725 0.6764
0.3077 0.9169 0.0141
0.3236 0.7806 0.6275
0.3725 0.6764 0.2194
0.6275 0.3236 0.7806
0.6764 0.2194 0.3725
0.6923 0.0831 0.9859
0.7806 0.6275 0.3236
0.9169 0.0141 0.3077
0.9859 0.6923 0.0831
0.5000 0.5000 0.5000

---

Hg2PtPb, optimized geometry, DFT PBE; energy of formation from the pure elements = 0.21 eV per formula unit; N(E_F) = 0.28 states/eV/atom; symmetry = C2/m
1.0
5.9825 -1.5951 0.0000
5.9825 1.5951 0.0000
-2.4182 0.0000 4.8379
Hg Pt Pb
2 1 1
Direct
0.2206 0.2206 0.2202
0.7794 0.7794 0.7798
0.5000 0.5000 0.0000
0.0000 0.0000 0.5000

---

RbZr2ScSb, optimized geometry, DFT PBE; N(E_F) = 0.89 states/eV/atom; symmetry = P4/mmm; energy relative to the elements, uncorrected = 1.1073 eV/atom
1.0
5.2375 0.0000 0.0000
0.0000 5.2375 0.0000
0.0000 0.0000 5.4694
Rb Zr Sc Sb
1 2 1 1
Direct
0.0000 0.0000 0.0000
0.0000 0.5000 0.5000
0.5000 0.0000 0.5000
0.0000 0.0000 0.5000
0.5000 0.5000 0.0000

---

Er2PuTl3Se6, optimized geometry, DFT PBE; N(E_F) = 1.26 states/eV/atom; symmetry = C2/m; energy relative to the elements, uncorrected = -0.8735 eV/atom
1.0
4.0962 -7.9291 0.0000
4.0962 7.9291 0.0000
-3.7424 0.0000 5.8536
Er Pu Tl Se
2 1 3 6
Direct
0.2395 0.7605 0.0000
0.7605 0.2395 0.0000
0.5000 0.5000 0.0000
0.0000 0.0000 0.5000
0.3220 0.6780 0.5000
0.6780 0.3220 0.5000
0.0874 0.3630 0.9095
0.3369 0.3369 0.5007
0.3630 0.0874 0.9095
0.6370 0.9126 0.0905
0.6631 0.6631 0.4993
0.9126 0.6370 0.0905

---

NbAlZnRe, optimized geometry, DFT PBE; energy of formation from the pure elements = -0.45 eV per formula unit; N(E_F) = 1.07 states/eV/atom; symmetry = F-43m
1.0
0.0000 3.1439 3.1439
3.1439 0.0000 3.1439
3.1439 3.1439 0.0000
Nb Al Zn Re
1 1 1 1
Direct
0.0000 0.0000 0.0000
0.5000 0.5000 0.5000
0.7500 0.7500 0.7500
0.2500 0.2500 0.2500

---

La2YSe, optimized geometry, DFT PBE; N(E_F) = 0.97 states/eV/atom; symmetry = R3m; energy relative to the elements, uncorrected = -0.8467 eV/atom
1.0
1.9419 1.1212 9.8292
-1.9419 1.1212 9.8292
0.0000 -2.2424 9.8292
La Y Se
2 1 1
Direct
0.0000 0.0000 0.0000
0.2306 0.2306 0.2306
0.4637 0.4637 0.4637
0.7357 0.7357 0.7357

---

BaLuIr4, optimized geometry, DFT PBE; energy of formation from the pure elements = -1.87 eV per formula unit; N(E_F) = 1.28 states/eV/atom; symmetry = F-43m
1.0
0.0000 3.8636 3.8636
3.8636 0.0000 3.8636
3.8636 3.8636 0.0000
Ba Lu Ir
1 1 4
Direct
0.0000 0.0000 0.0000
0.2500 0.2500 0.2500
0.1265 0.6245 0.6245
0.6245 0.1265 0.6245
0.6245 0.6245 0.1265
0.6245 0.6245 0.6245

---

PuThOs, optimized geometry, DFT PBE; energy of formation from the pure elements = 0.10 eV per formula unit; N(E_F) = 2.24 states/eV/atom; symmetry = P3m1; ΔE to the lowest computed polymorph = 0.58 eV per formula unit
1.0
4.8007 0.0000 0.0000
-2.4004 4.1575 0.0000
0.0000 0.0000 3.3787
Pu Th Os
1 1 1
Direct
0.0000 0.0000 0.0000
0.6667 0.3333 0.6394
0.3333 0.6667 0.2849

---

YNb2Ge, optimized geometry, DFT PBE; energy of formation from the pure elements = 0.95 eV per formula unit; N(E_F) = 0.66 states/eV/atom; symmetry = I-42d
1.0
-3.9807 3.9807 2.7452
3.9807 -3.9807 2.7452
3.9807 3.9807 -2.7452
Y Nb Ge
2 4 2
Direct
0.0000 0.0000 0.0000
0.7500 0.2500 0.5000
0.1780 0.1250 0.5530
0.3750 0.8220 0.9470
0.5720 0.6250 0.4470
0.8750 0.4280 0.0530
0.2500 0.7500 0.5000
0.5000 0.5000 0.0000

---

Number 1: calculated total energy -4.744 eV/atom. Number 2: calculated total energy -5.982 eV/atom. Number 3: calculated total energy -3.920 eV/atom. Number 4: calculated total energy -4.592 eV/atom. Number 5: calculated total energy -2.535 eV/atom. Number 6: calculated total energy -4.596 eV/atom. Number 7: calculated total energy -5.162 eV/atom. Number 8: calculated total energy -6.995 eV/atom. Number 9: calculated total energy -5.798 eV/atom. Number 10: calculated total energy -7.293 eV/atom. Number 11: calculated total energy -10.962 eV/atom. Number 12: calculated total energy -7.569 eV/atom.